[1]
SrCo2HgN: relaxed, PBE.

Values from the calculation:
SG = No. 123
Raw formation energy = 0.48 eV per atom
Total magnetization = 2.9 μB per cell
DOS at the Fermi energy = 1.264 states/eV/atom
E_tot = -4.4197 eV/atom

Cell lengths 4.014, 4.014, 5.600 Å; angles 90.00, 90.00, 90.00 degrees
Fractional coordinates of all 5 atoms:
Sr: 0.000 0.000 0.000
Co: 0.000 0.500 0.500
Co: 0.500 0.000 0.500
Hg: 0.500 0.500 0.000
N: 0.500 0.500 0.500


[2]
KFeCu2: relaxed, PBE.

Values from the calculation:
SG = No. 47
Formation energy from the elements = 1.015 eV per atom
Total magnetization = 2.8 μB per cell
DOS at the Fermi energy = 1.171 states/eV/atom
Excess energy over the best structure of this formula in the dataset = 499 meV/atom
E_tot = -3.4235 eV/atom

Cell lengths 2.669, 5.000, 5.231 Å; angles 90.00, 90.00, 90.00 degrees
Fractional coordinates of all 4 atoms:
K: 0.000 0.000 0.000
Fe: 0.500 0.000 0.500
Cu: 0.000 0.500 0.500
Cu: 0.500 0.500 0.000


[3]
ScTaMo2: relaxed, PBE.

Values from the calculation:
SG = No. 123
Formation energy from the elements = 0.239 eV per atom
Total magnetization = 0.0 μB per cell
DOS at the Fermi energy = 0.956 states/eV/atom
Excess energy over the best structure of this formula in the dataset = 228 meV/atom
E_tot = -9.7226 eV/atom

Cell lengths 2.722, 2.722, 9.565 Å; angles 90.00, 90.00, 90.00 degrees
Fractional coordinates of all 4 atoms:
Sc: 0.000 0.000 0.000
Ta: 0.000 0.000 0.500
Mo: 0.500 0.500 0.253
Mo: 0.500 0.500 0.747


[4]
CoNi2Sb: relaxed, PBE.

Values from the calculation:
SG = No. 166
Raw formation energy = 0.43 eV per atom
Total magnetization = 2.3 μB per cell
DOS at the Fermi energy = 1.796 states/eV/atom
E_tot = -5.2655 eV/atom

Cell lengths 7.732, 7.732, 7.732 Å; angles 22.33, 22.33, 22.33 degrees
Fractional coordinates of all 4 atoms:
Co: 0.000 0.000 0.000
Ni: 0.254 0.254 0.254
Ni: 0.746 0.746 0.746
Sb: 0.500 0.500 0.500


[5]
Ac4Bi2N: relaxed, PBE.

Values from the calculation:
SG = No. 11
Raw formation energy = -0.85 eV per atom
Total magnetization = 0.3 μB per cell
DOS at the Fermi energy = 0.991 states/eV/atom
Excess energy over the best structure of this formula in the dataset = 0 meV/atom
E_tot = -5.4956 eV/atom

Cell lengths 7.476, 7.413, 9.740 Å; angles 90.00, 108.33, 90.00 degrees
Fractional coordinates of all 14 atoms:
Ac: 0.004 0.002 0.279
Ac: 0.004 0.498 0.279
Ac: 0.360 0.250 0.055
Ac: 0.418 0.250 0.646
Ac: 0.582 0.750 0.354
Ac: 0.640 0.750 0.945
Ac: 0.996 0.502 0.721
Ac: 0.996 0.998 0.721
Bi: 0.213 0.750 0.040
Bi: 0.301 0.750 0.582
Bi: 0.699 0.250 0.418
Bi: 0.787 0.250 0.960
N: 0.206 0.250 0.797
N: 0.794 0.750 0.203


[6]
BaGa2O4: relaxed, PBE.

Values from the calculation:
SG = No. 9
Raw formation energy = -2.18 eV per atom
Total magnetization = 0.0 μB per cell
DOS at the Fermi energy = 0.000 states/eV/atom
Excess energy over the best structure of this formula in the dataset = 39 meV/atom
E_tot = -6.1483 eV/atom

Cell lengths 7.804, 7.804, 5.946 Å; angles 107.52, 107.52, 122.16 degrees
Fractional coordinates of all 14 atoms:
Ba: 0.129 0.871 0.500
Ba: 0.871 0.129 0.000
Ga: 0.307 0.442 0.741
Ga: 0.436 0.880 0.174
Ga: 0.442 0.307 0.241
Ga: 0.880 0.436 0.674
O: 0.065 0.438 0.535
O: 0.117 0.626 0.070
O: 0.243 0.272 0.918
O: 0.272 0.243 0.418
O: 0.438 0.065 0.035
O: 0.575 0.772 0.047
O: 0.626 0.117 0.570
O: 0.772 0.575 0.547


[7]
Sr2CuPt: relaxed, PBE.

Values from the calculation:
SG = No. 44
Formation energy from the elements = -0.382 eV per atom
Total magnetization = 0.0 μB per cell
DOS at the Fermi energy = 0.467 states/eV/atom
E_tot = -3.7570 eV/atom

Cell lengths 7.620, 7.620, 7.620 Å; angles 147.51, 147.44, 46.66 degrees
Fractional coordinates of all 4 atoms:
Sr: 0.000 0.000 0.000
Sr: 0.739 0.239 0.500
Cu: 0.173 0.673 0.500
Pt: 0.576 0.576 0.000


[8]
CaThCdPb: relaxed, PBE.

Values from the calculation:
SG = No. 216
Formation energy from the elements = -0.228 eV per atom
Total magnetization = 0.0 μB per cell
DOS at the Fermi energy = 1.019 states/eV/atom
E_tot = -3.7392 eV/atom

Cell lengths 5.490, 5.490, 5.490 Å; angles 60.00, 60.00, 60.00 degrees
Fractional coordinates of all 4 atoms:
Ca: 0.000 0.000 0.000
Th: 0.500 0.500 0.500
Cd: 0.750 0.750 0.750
Pb: 0.250 0.250 0.250


[9]
Cr2OsRu: relaxed, PBE.

Values from the calculation:
SG = No. 119
Formation energy from the elements = 0.128 eV per atom
Total magnetization = 0.0 μB per cell
DOS at the Fermi energy = 1.321 states/eV/atom
Excess energy over the best structure of this formula in the dataset = 34 meV/atom
E_tot = -9.8097 eV/atom

Cell lengths 4.619, 4.619, 4.619 Å; angles 132.67, 132.67, 69.18 degrees
Fractional coordinates of all 4 atoms:
Cr: 0.000 0.000 0.000
Cr: 0.750 0.250 0.500
Os: 0.250 0.750 0.500
Ru: 0.500 0.500 0.000


[10]
VTe3Pb: relaxed, PBE.

Values from the calculation:
SG = No. 221
Raw formation energy = 0.06 eV per atom
Total magnetization = 1.8 μB per cell
DOS at the Fermi energy = 1.280 states/eV/atom
Excess energy over the best structure of this formula in the dataset = 0 meV/atom
E_tot = -4.3885 eV/atom

Cell lengths 5.330, 5.330, 5.330 Å; angles 90.00, 90.00, 90.00 degrees
Fractional coordinates of all 5 atoms:
V: 0.000 0.000 0.000
Te: 0.000 0.000 0.500
Te: 0.000 0.500 0.000
Te: 0.500 0.000 0.000
Pb: 0.500 0.500 0.500


[11]
Nd2Sm4DyHo: relaxed, PBE.

Values from the calculation:
SG = No. 10
Formation energy from the elements = 0.015 eV per atom
Total magnetization = 0.0 μB per cell
DOS at the Fermi energy = 1.424 states/eV/atom
E_tot = -4.6839 eV/atom

Cell lengths 5.112, 5.123, 10.217 Å; angles 90.00, 90.13, 90.00 degrees
Fractional coordinates of all 8 atoms:
Nd: 0.000 0.000 0.000
Nd: 0.500 0.500 0.500
Sm: 0.000 0.500 0.249
Sm: 0.000 0.500 0.751
Sm: 0.500 0.000 0.250
Sm: 0.500 0.000 0.750
Dy: 0.000 0.000 0.500
Ho: 0.500 0.500 0.000


[12]
Mn2Co2H7: relaxed, PBE.

Values from the calculation:
SG = No. 65
Total magnetization = 7.5 μB per cell
DOS at the Fermi energy = 0.359 states/eV/atom
E_tot = -5.0599 eV/atom

Cell lengths 4.122, 4.122, 3.992 Å; angles 90.00, 90.00, 94.74 degrees
Fractional coordinates of all 11 atoms:
Mn: 0.241 0.241 0.000
Mn: 0.759 0.759 0.000
Co: 0.265 0.735 0.500
Co: 0.735 0.265 0.500
H: 0.000 0.000 0.500
H: 0.000 0.500 0.256
H: 0.000 0.500 0.744
H: 0.500 0.000 0.256
H: 0.500 0.000 0.744
H: 0.500 0.500 0.268
H: 0.500 0.500 0.732


Look up the total magnetization of the sixth one.
0.0 μB per cell